1.
The following is a PBE calculation of a relaxed BeI3Br crystal, from the Alexandria database.

Cell lengths 5.292, 5.292, 5.292 Å; angles 90.00, 90.00, 90.00 degrees
Positions (direct):
I 0.000 0.500 0.000
I 0.000 0.000 0.500
I 0.500 0.000 0.000
Be 0.000 0.000 0.000
Br 0.500 0.500 0.500

uncorrected formation energy: 1.073 eV per formula unit
energy above the most stable polymorph in this dataset: 0 meV/atom

2.
The following is a PBE calculation of a relaxed LiNbCd crystal, from the Alexandria database.

Cell lengths 3.804, 3.804, 7.592 Å; angles 90.00, 90.00, 90.00 degrees
Positions (direct):
Nb 0.000 0.500 0.913
Nb 0.500 0.000 0.087
Li 0.000 0.500 0.252
Li 0.500 0.000 0.748
Cd 0.000 0.000 0.500
Cd 0.500 0.500 0.500

formation energy: 419 meV per atom
energy above the most stable polymorph in this dataset: 385 meV/atom

3.
The following is a PBE calculation of a relaxed Ca2LaSe crystal, from the Alexandria database.

Cell lengths 7.042, 7.042, 7.042 Å; angles 149.57, 133.02, 57.00 degrees
Positions (direct):
Ca 0.942 0.942 0.000
Ca 0.558 0.558 0.000
Se 0.750 0.250 0.500
La 0.250 0.750 0.500

uncorrected formation energy: -3.020 eV per formula unit